Record 1
Entry from Alexandria: an optimized crystal structure of Cs2SrZnAs2 (GGA-PBE).

extended XYZ file:
```
12
Lattice="7.1862 0.0000 0.0000 0.0000 7.2212 0.0000 -3.5931 -3.6106 8.2835" Properties=species:S:1:pos:R:3 pbc="T T T"
Cs 2.0120 0.0000 2.9518
Cs 1.5811 3.6106 5.3317
Cs -1.5811 0.0000 5.3317
Cs 5.1742 3.6106 2.9518
Sr 0.0000 5.4159 0.0000
Sr 0.0000 1.8053 0.0000
Zn 3.5931 5.4159 0.0000
Zn 3.5931 1.8053 0.0000
As 5.0894 0.0000 1.3513
As 2.0968 3.6106 1.3513
As 1.4963 0.0000 6.9322
As -1.4963 3.6106 6.9322
```

## Properties
The space group is Ibam. The total energy comes out at -34.867 eV per cell. The energy relative to the elements is -0.579 eV/atom.

Record 2
Entry from Alexandria: an optimized crystal structure of CsTaAs2 (GGA-PBE).

extended XYZ file:
```
4
Lattice="-1.1818 -3.5765 -0.0353 0.0724 -2.0389 3.1666 -8.3345 0.7416 2.9085" Properties=species:S:1:pos:R:3 pbc="T T T"
Cs -4.7220 -2.4369 3.0199
As -7.6521 -3.4686 4.6630
As -1.7919 -1.4052 1.3767
Ta 0.0000 0.0000 0.0000
```

## Properties
The space group is R-3m. The total energy comes out at -23.263 eV per cell. The energy relative to the elements is -0.314 eV/atom. The density of states at the Fermi level comes out at 1.87 states/eV/cell. The energy above the most stable polymorph in this dataset comes out at 0.000 eV per atom.

Record 3
Entry from Alexandria: an optimized crystal structure of CsTaAs3 (GGA-PBE).

extended XYZ file:
```
5
Lattice="5.1457 0.0000 0.0000 0.0000 5.1457 0.0000 0.0000 0.0000 5.1457" Properties=species:S:1:pos:R:3 pbc="T T T"
Cs 2.5728 2.5728 2.5728
As 0.0000 2.5728 0.0000
As 0.0000 0.0000 2.5728
As 2.5728 0.0000 0.0000
Ta 0.0000 0.0000 0.0000
```

## Properties
The space group is Pm-3m. The total energy comes out at -27.161 eV per cell. The energy relative to the elements is -0.101 eV/atom. The density of states at the Fermi level comes out at 5.30 states/eV/cell. The energy above the most stable polymorph in this dataset comes out at 0.000 eV per atom.

Record 4
Entry from Alexandria: an optimized crystal structure of CsTaAs2 (GGA-PBE).

extended XYZ file:
```
4
Lattice="5.0839 0.0000 0.0000 2.5419 4.4028 0.0000 2.5419 1.4676 4.1510" Properties=species:S:1:pos:R:3 pbc="T T T"
Cs 0.0000 0.0000 0.0000
As 2.5419 1.4676 1.0377
As 7.6258 4.4028 3.1132
Ta 5.0839 2.9352 2.0755
```

## Properties
The space group is Fm-3m. The total energy comes out at -18.816 eV per cell. The energy relative to the elements is 0.797 eV/atom. The density of states at the Fermi level comes out at 3.81 states/eV/cell. The energy above the most stable polymorph in this dataset comes out at 1.112 eV per atom.

Record 5
Entry from Alexandria: an optimized crystal structure of CsTaAs3 (GGA-PBE).

extended XYZ file:
```
5
Lattice="-2.3756 -1.2738 -4.7304 -0.1906 -5.2292 1.5039 -4.8952 0.8218 2.2370" Properties=species:S:1:pos:R:3 pbc="T T T"
Cs 0.0000 0.0000 0.0000
As -0.0953 -2.6146 0.7519
As -2.4476 0.4109 1.1185
As -1.1878 -0.6369 -2.3652
Ta -3.7307 -2.8406 -0.4948
```

## Properties
The space group is Pm-3m. The total energy comes out at -14.404 eV per cell. The energy relative to the elements is 2.450 eV/atom. The density of states at the Fermi level comes out at 4.63 states/eV/cell. The energy above the most stable polymorph in this dataset comes out at 2.551 eV per atom.

Record 6
Entry from Alexandria: an optimized crystal structure of CsTaTe6As (GGA-PBE).

extended XYZ file:
```
9
Lattice="7.6240 -0.0044 0.6090 3.9450 5.4816 -0.6284 0.7246 -1.5498 9.1838" Properties=species:S:1:pos:R:3 pbc="T T T"
Cs 4.8539 2.4997 8.5839
Ta 7.8619 2.8028 4.5151
Te 2.1042 1.3634 2.4251
Te 2.9219 -0.5553 6.7100
Te 7.6431 0.7936 6.4908
Te 9.5080 3.8134 6.5958
Te 5.7869 2.8975 2.8324
Te 9.1143 4.6142 2.8419
As 4.0482 1.4125 4.2171
```

## Properties
The space group is P1. The total energy comes out at -38.449 eV per cell. The value obtained for the uncorrected formation energy is -249 meV/atom. The density of states at the Fermi level comes out at 0.43 states/eV/cell.

Record 7
Entry from Alexandria: an optimized crystal structure of CsTcAs2 (GGA-PBE).

extended XYZ file:
```
4
Lattice="-0.3253 1.9877 2.4725 -3.1384 0.1614 -0.5426 -1.2757 -6.8518 5.3403" Properties=species:S:1:pos:R:3 pbc="T T T"
Cs -2.3697 -2.3514 3.6351
As -1.0591 -5.6886 4.4338
As -0.2166 -1.1632 0.9066
Tc -1.7318 1.0745 0.9649
```

## Properties
The space group is P4/mmm. The total energy comes out at -20.812 eV per cell. The energy relative to the elements is -0.073 eV/atom. The energy above the most stable polymorph in this dataset comes out at 0.000 eV per atom.

Record 8
Entry from Alexandria: an optimized crystal structure of CsTcAs2 (GGA-PBE).

extended XYZ file:
```
4
Lattice="0.0000 3.5862 3.5862 3.5862 0.0000 3.5862 3.5862 3.5862 0.0000" Properties=species:S:1:pos:R:3 pbc="T T T"
Cs 3.5862 3.5862 3.5862
As 1.7931 1.7931 1.7931
As 5.3793 5.3793 5.3793
Tc 0.0000 0.0000 0.0000
```

## Properties
The space group is Fm-3m. The total energy comes out at -16.699 eV per cell. The energy relative to the elements is 0.955 eV/atom. The density of states at the Fermi level comes out at 3.54 states/eV/cell. The energy above the most stable polymorph in this dataset comes out at 1.028 eV per atom.

Record 9
Entry from Alexandria: an optimized crystal structure of Cs2TcAs (GGA-PBE).

extended XYZ file:
```
4
Lattice="0.0000 4.0287 4.0287 4.0287 0.0000 4.0287 4.0287 4.0287 0.0000" Properties=species:S:1:pos:R:3 pbc="T T T"
Cs 2.0143 2.0143 2.0143
Cs 6.0430 6.0430 6.0430
As 0.0000 0.0000 0.0000
Tc 4.0287 4.0287 4.0287
```

## Properties
The space group is Fm-3m. The total energy comes out at -11.410 eV per cell. The energy relative to the elements is 1.328 eV/atom. The density of states at the Fermi level comes out at 3.52 states/eV/cell.

Record 10
Entry from Alexandria: an optimized crystal structure of CsTc5As8 (GGA-PBE).

extended XYZ file:
```
14
Lattice="-3.0527 1.0074 0.3886 -3.3753 -9.1258 -2.8590 2.3657 -1.4789 8.9278" Properties=species:S:1:pos:R:3 pbc="T T T"
Cs -0.7809 -5.3147 7.6433
Tc -1.8575 -7.0046 3.5659
Tc -2.2805 -2.8112 2.8638
Tc 0.5109 -0.6350 5.6598
Tc -4.6056 -8.8628 0.2854
Tc -3.3154 -9.1129 -2.4221
As -0.2084 -2.1799 4.0138
As -3.9078 -7.5142 2.2713
As -1.3919 -5.0213 2.0831
As -2.7307 -4.8460 4.6012
As -2.5931 -7.6074 -0.6497
As -1.2259 -1.3432 7.3430
As -2.2433 -8.8045 5.2014
As -1.9676 -1.1897 1.1175
```

## Properties
The space group is Cm. The total energy comes out at -92.426 eV per cell. The energy relative to the elements is -0.182 eV/atom. The density of states at the Fermi level comes out at 5.74 states/eV/cell.

Record 11
Entry from Alexandria: an optimized crystal structure of Cs3TcAs (GGA-PBE).

extended XYZ file:
```
5
Lattice="-1.8895 -6.0373 -3.0244 3.5301 -3.5605 4.9019 -5.7563 -0.2017 3.9989" Properties=species:S:1:pos:R:3 pbc="T T T"
Cs 1.7650 -1.7802 2.4509
Cs -2.8781 -0.1009 1.9994
Cs -0.9448 -3.0186 -1.5122
Tc -2.0579 -4.8997 2.9381
As 0.0000 0.0000 0.0000
```

## Properties
The space group is Pm-3m. The total energy comes out at -12.638 eV per cell. The energy relative to the elements is 0.988 eV/atom. The density of states at the Fermi level comes out at 9.99 states/eV/cell. The energy above the most stable polymorph in this dataset comes out at 0.000 eV per atom.

Record 12
Entry from Alexandria: an optimized crystal structure of CsTcAs2 (GGA-PBE).

extended XYZ file:
```
4
Lattice="-2.5826 2.0078 1.4278 -3.1949 -1.4314 0.6953 0.8120 -2.0094 8.7559" Properties=species:S:1:pos:R:3 pbc="T T T"
Cs -2.4827 -0.7165 5.4395
As -3.5194 -1.2394 8.7609
As -1.4460 -0.1937 2.1181
Tc 0.0000 0.0000 0.0000
```

## Properties
The space group is R-3m. The total energy comes out at -20.550 eV per cell. The energy relative to the elements is -0.008 eV/atom. The density of states at the Fermi level comes out at 1.95 states/eV/cell. The energy above the most stable polymorph in this dataset comes out at 0.065 eV per atom.